Record 1
Here is a relaxed AlCoOs2Au crystal from Alexandria. Energies are from PBEsol.

Total energy, eV/atom: -6.438
DFT formation energy, meV/atom: 1599

Cell: 4.118 4.407 4.407 Å, 90.00 90.00 90.00°
Each line ends with the local moment (μB).
Sites, in units of the cell vectors:
Os  0.000  0.000  0.500  0.44
Os  0.000  0.500  0.000  0.44
Au  0.500  0.500  0.500  0.04
Al  0.000  0.000  0.000  -0.02
Co  0.500  0.000  0.000  1.46



Record 2
Here is a relaxed Al2CrAu crystal from Alexandria. Energies are from PBEsol.

Total energy, eV/atom: -5.485
DFT formation energy, meV/atom: 102

Cell: 2.818 2.818 8.763 Å, 80.75 80.75 60.00°
Sites, in units of the cell vectors:
Cr  0.252  0.252  0.244
Au  0.502  0.502  0.495
Al  0.996  0.996  0.013
Al  0.751  0.751  0.747



Record 3
Here is a relaxed Al2CrAu crystal from Alexandria. Energies are from PBEsol.

Total energy, eV/atom: -5.653
DFT formation energy, meV/atom: -66

Cell: 3.952 3.952 4.714 Å, 114.78 114.78 90.00°
Each line ends with the local moment (μB).
Sites, in units of the cell vectors:
Cr  0.500  0.500  0.000  2.52
Au  0.000  0.000  0.000  0.04
Al  0.750  0.250  0.500  -0.02
Al  0.250  0.750  0.500  -0.02



Record 4
Here is a relaxed Al2CrAu crystal from Alexandria. Energies are from PBEsol.

Total energy, eV/atom: -5.582
DFT formation energy, meV/atom: 5

Cell: 2.730 5.059 5.069 Å, 118.93 103.94 93.25°
Sites, in units of the cell vectors:
Cr  0.000  0.500  0.000
Au  0.500  0.000  0.000
Al  0.000  0.000  0.500
Al  0.500  0.500  0.500



Record 5
Here is a relaxed AlCrAu3 crystal from Alexandria. Energies are from PBEsol.

Total energy, eV/atom: -4.258
DFT formation energy, meV/atom: 963

Cell: 4.847 4.847 4.847 Å, 90.00 90.00 90.00°
Each line ends with the local moment (μB).
Sites, in units of the cell vectors:
Cr  0.000  0.000  0.000  3.24
Au  0.000  0.500  0.000  0.11
Au  0.000  0.000  0.500  0.11
Au  0.500  0.000  0.000  0.11
Al  0.500  0.500  0.500  0.00



Record 6
Here is a relaxed Al2CrAu crystal from Alexandria. Energies are from PBEsol.

Total energy, eV/atom: -5.819
DFT formation energy, meV/atom: -232

Cell: 3.650 3.974 3.974 Å, 90.00 90.00 90.00°
Each line ends with the local moment (μB).
Sites, in units of the cell vectors:
Cr  0.500  0.000  0.000  2.17
Au  0.500  0.500  0.500  -0.04
Al  0.000  0.000  0.500  -0.04
Al  0.000  0.500  0.000  -0.04



Record 7
Here is a relaxed AlCrAu2 crystal from Alexandria. Energies are from PBEsol.

Total energy, eV/atom: -5.545
DFT formation energy, meV/atom: 1

Cell: 4.464 4.464 4.464 Å, 60.00 60.00 60.00°
Each line ends with the local moment (μB).
Sites, in units of the cell vectors:
Cr  0.250  0.250  0.250  3.22
Au  0.000  0.000  0.000  0.02
Au  0.750  0.750  0.750  -0.01
Al  0.500  0.500  0.500  -0.02



Record 8
Here is a relaxed AlCrAu2 crystal from Alexandria. Energies are from PBEsol.

Total energy, eV/atom: -5.665
DFT formation energy, meV/atom: -119

Cell: 3.630 4.154 4.154 Å, 90.00 90.00 90.00°
Each line ends with the local moment (μB).
Sites, in units of the cell vectors:
Cr  0.500  0.500  0.500  3.30
Au  0.000  0.000  0.500  0.03
Au  0.000  0.500  0.000  0.03
Al  0.500  0.000  0.000  -0.04



Record 9
Here is a relaxed AlCuAu2 crystal from Alexandria. Energies are from PBEsol.

Total energy, eV/atom: -4.300
DFT formation energy, meV/atom: -231

Cell: 2.894 4.169 5.181 Å, 90.00 106.38 90.00°
Sites, in units of the cell vectors:
Au  0.039  0.000  0.950
Au  0.713  0.500  0.305
Al  0.446  0.500  0.765
Cu  0.301  0.000  0.481



Record 10
Here is a relaxed Al2CuAu crystal from Alexandria. Energies are from PBEsol.

Total energy, eV/atom: -4.373
DFT formation energy, meV/atom: -262

Cell: 3.050 3.708 5.222 Å, 90.00 90.00 90.00°
Sites, in units of the cell vectors:
Au  0.000  0.000  0.484
Al  0.000  0.000  0.974
Al  0.500  0.500  0.264
Cu  0.500  0.500  0.779



Record 11
Here is a relaxed AlCuAu2 crystal from Alexandria. Energies are from PBEsol.

Total energy, eV/atom: -4.252
DFT formation energy, meV/atom: -183

Cell: 3.051 4.636 4.707 Å, 103.67 90.00 109.21°
Sites, in units of the cell vectors:
Au  0.755  0.511  0.751
Au  0.245  0.489  0.249
Al  0.500  0.000  0.000
Cu  0.000  0.000  0.500



Record 12
Here is a relaxed AlCuAu2 crystal from Alexandria. Energies are from PBEsol.

Total energy, eV/atom: -4.351
DFT formation energy, meV/atom: -283

Cell: 3.794 3.794 4.928 Å, 112.64 112.64 90.00°
Sites, in units of the cell vectors:
Au  0.000  0.000  0.000
Au  0.750  0.250  0.500
Al  0.250  0.750  0.500
Cu  0.500  0.500  0.000



Record 13
Here is a relaxed AlCuAu crystal from Alexandria. Energies are from PBEsol.

Total energy, eV/atom: -4.428
DFT formation energy, meV/atom: -311

Cell: 3.209 3.209 4.715 Å, 109.89 109.89 90.00°
Sites, in units of the cell vectors:
Au  0.665  0.665  0.330
Al  0.994  0.994  0.987
Cu  0.341  0.341  0.683



Record 14
Here is a relaxed AlCuAu2 crystal from Alexandria. Energies are from PBEsol.

Total energy, eV/atom: -4.309
DFT formation energy, meV/atom: -240

Cell: 3.278 3.278 5.609 Å, 90.00 90.00 90.00°
Sites, in units of the cell vectors:
Au  0.000  0.000  0.972
Au  0.500  0.500  0.282
Al  0.500  0.500  0.743
Cu  0.000  0.000  0.503



Record 15
Here is a relaxed AlCuAu2 crystal from Alexandria. Energies are from PBEsol.

Total energy, eV/atom: -4.336
DFT formation energy, meV/atom: -268

Cell: 3.013 4.469 4.877 Å, 106.31 107.99 90.00°
Sites, in units of the cell vectors:
Au  0.985  0.955  0.970
Au  0.762  0.295  0.525
Al  0.238  0.774  0.477
Cu  0.514  0.476  0.029